[1]
# NaCaS2O6

A geometry-optimized NaCaS2O6 structure (PBE, the Alexandria database).

- ΔE_f (raw) (eV per atom) = -1.74
- calculated total energy (eV/atom) = -5.872
- M_tot (μB per cell) = 2.9

Unit cell a=5.3204 b=5.3204 c=17.6058 alpha=90.00 beta=90.00 gamma=120.00
With the nearest neighbours (Å) after each atom.
Space group R-3 (No. 148, hexagonal axes)
Symmetry-distinct sites (fractional):
Na 0.0000 0.0000 0.0000 x3  6 O 2.51
Ca 0.0000 0.0000 0.5000 x3  6 O 2.40
S 0.0000 0.0000 0.2739 x6  3 O 1.52
O 0.0027 0.2704 0.7557 x18  1 S 1.52

=====

[2]
# Na2CaSbO

A geometry-optimized Na2CaSbO structure (PBE, the Alexandria database).

- ΔE_f (raw) (eV per atom) = -1.18
- calculated total energy (eV/atom) = -3.929
- M_tot (μB per cell) = 0.2

Unit cell a=4.8852 b=4.8852 c=4.5334 alpha=90.00 beta=90.00 gamma=90.00
With the nearest neighbours (Å) after each atom.
Space group P4/mmm (No. 123)
Symmetry-distinct sites (fractional):
Na 0.0000 0.5000 0.0000 x2  2 O 2.44
Ca 0.0000 0.0000 0.5000 x1  2 O 2.27
Sb 0.5000 0.5000 0.5000 x1  8 Na 3.33, 4 Ca 3.45
O 0.0000 0.0000 0.0000 x1  2 Ca 2.27, 4 Na 2.44

=====

[3]
# NaCaSb2O7

A geometry-optimized NaCaSb2O7 structure (PBE, the Alexandria database).

- ΔE_f (raw) (eV per atom) = -1.69
- calculated total energy (eV/atom) = -5.900
- M_tot (μB per cell) = 4.0

Unit cell a=7.4046 b=7.4214 c=10.4127 alpha=90.00 beta=90.00 gamma=90.00
With the nearest neighbours (Å) after each atom.
Space group Imma (No. 74)
Symmetry-distinct sites (fractional):
Na 0.2500 0.2500 0.2500 x4  2 O 2.31
Ca 0.0000 0.0000 0.0000 x4  2 O 2.22
Sb 0.0000 0.0000 0.5000 x4  6 O 2.01
Sb 0.2500 0.2500 0.7500 x4  6 O 2.00-2.02
O 0.0000 0.2500 0.1172 x4  2 Ca 2.22, 2 Na 2.31
O 0.0000 0.2500 0.4257 x4  2 Sb 2.01
O 0.0000 0.2500 0.8268 x4  2 Sb 2.02
O 0.2023 0.0533 0.6231 x16  2 Sb 2.00-2.01

=====

[4]
# NaCa2SbO4

A geometry-optimized NaCa2SbO4 structure (PBE, the Alexandria database).

- ΔE_f (raw) (eV per atom) = -2.09
- calculated total energy (eV/atom) = -5.752
- M_tot (μB per cell) = 0.0

Unit cell a=6.9035 b=6.9280 c=9.4819 alpha=90.00 beta=90.00 gamma=90.00
With the nearest neighbours (Å) after each atom.
Space group Imma (No. 74)
Symmetry-distinct sites (fractional):
Na 0.0000 0.0000 0.0000 x4  6 O 2.40-2.52
Ca 0.0000 0.0000 0.5000 x4  6 O 2.35-2.37
Ca 0.2500 0.2500 0.2500 x4  6 O 2.44
Sb 0.2500 0.2500 0.7500 x4  6 O 2.31-2.45
O 0.0000 0.0019 0.2527 x8  3 Ca 2.35-2.44, 1 Na 2.40, 2 Sb 2.45
O 0.2350 0.2500 0.5067 x8  1 Sb 2.31, 3 Ca 2.37-2.44, 2 Na 2.52

=====

[5]
# NaCaZrSbO6

A geometry-optimized NaCaZrSbO6 structure (PBE, the Alexandria database).

- ΔE_f (raw) (eV per atom) = -2.36
- calculated total energy (eV/atom) = -6.938
- M_tot (μB per cell) = 0.0

Unit cell a=8.1209 b=8.1209 c=8.1209 alpha=90.00 beta=90.00 gamma=90.00
With the nearest neighbours (Å) after each atom.
Space group F-43m (No. 216)
Symmetry-distinct sites (fractional):
Na 0.0000 0.0000 0.0000 x4  12 O 2.87
Ca 0.0000 0.0000 0.5000 x4  12 O 2.87
Zr 0.2500 0.2500 0.2500 x4  6 O 2.08
Sb 0.2500 0.2500 0.7500 x4  6 O 1.98
O 0.0062 0.2500 0.7500 x24  1 Sb 1.98, 1 Zr 2.08

=====

[6]
# Na3CaSc3ZnSi8O24

A geometry-optimized Na3CaSc3ZnSi8O24 structure (PBE, the Alexandria database).

- ΔE_f (raw) (eV per atom) = -2.83
- calculated total energy (eV/atom) = -7.544
- M_tot (μB per cell) = 0.0

Unit cell a=5.3936 b=9.1292 c=9.8576 alpha=90.00 beta=104.48 gamma=90.00
With the nearest neighbours (Å) after each atom.
Space group P2 (No. 3)
Symmetry-distinct sites (fractional):
Na 0.0000 0.0000 0.0000 x1  6 O 2.44-2.52
Na 0.0000 0.1037 0.5000 x1  6 O 2.42-2.57
Na 0.5000 0.6101 0.0000 x1  6 O 2.44-2.52
Ca 0.5000 0.5111 0.5000 x1  6 O 2.36-2.53
Sc 0.0000 0.4112 0.0000 x1  6 O 2.02-2.23
Sc 0.5000 0.1987 0.0000 x1  6 O 2.01-2.24
Sc 0.5000 0.9083 0.5000 x1  6 O 2.05-2.22
Zn 0.0000 0.7088 0.5000 x1  6 O 2.09-2.20
Si 0.1997 0.3961 0.7096 x2  4 O 1.61-1.69
Si 0.2038 0.7181 0.2109 x2  4 O 1.62-1.67
Si 0.2964 0.8929 0.7882 x2  4 O 1.62-1.67
Si 0.2977 0.2176 0.2895 x2  4 O 1.61-1.68
O 0.0787 0.7987 0.8469 x2  2 Si 1.66-1.67
O 0.0884 0.3188 0.3505 x2  2 Si 1.67-1.68
O 0.1957 0.5576 0.1403 x2  1 Si 1.62
O 0.2076 0.5534 0.6376 x2  1 Si 1.61
O 0.2231 0.2262 0.1182 x2  1 Si 1.64
O 0.2242 0.8897 0.6173 x2  1 Si 1.63
O 0.2756 0.3846 0.8810 x2  1 Si 1.64
O 0.2856 0.7206 0.3827 x2  1 Si 1.64
O 0.3019 0.0588 0.3603 x2  1 Si 1.61
O 0.3041 0.0526 0.8605 x2  1 Si 1.62
O 0.4185 0.2999 0.6497 x2  2 Si 1.68-1.69
O 0.4198 0.8123 0.1508 x2  2 Si 1.67

=====

[7]
# NaCa2ScZn2Si6O18

A geometry-optimized NaCa2ScZn2Si6O18 structure (PBE, the Alexandria database).

- ΔE_f (raw) (eV per atom) = -2.71
- calculated total energy (eV/atom) = -7.242
- M_tot (μB per cell) = 0.0

Unit cell a=9.9679 b=27.2843 c=5.3534 alpha=90.00 beta=106.50 gamma=90.00
With the nearest neighbours (Å) after each atom.
Space group C2/c (No. 15)
Symmetry-distinct sites (fractional):
Na 0.0000 0.2323 0.2500 x4  6 O 2.40-2.58
Ca 0.0000 0.0987 0.7500 x4  6 O 2.36-2.54
Ca 0.0000 0.4326 0.7500 x4  6 O 2.34-2.61
Sc 0.0000 0.2986 0.7500 x4  6 O 2.03-2.23
Zn 0.0000 0.0319 0.2500 x4  6 O 2.09-2.21
Zn 0.0000 0.3656 0.2500 x4  6 O 2.08-2.19
Si 0.2112 0.1360 0.2614 x8  4 O 1.61-1.69
Si 0.2124 0.1960 0.7608 x8  4 O 1.61-1.68
Si 0.2132 0.4694 0.2676 x8  4 O 1.61-1.70
O 0.1169 0.0298 0.6447 x8  1 Si 1.62
O 0.1176 0.3052 0.1433 x8  1 Si 1.63
O 0.1176 0.3618 0.6515 x8  1 Si 1.64
O 0.1367 0.4178 0.1771 x8  1 Si 1.61
O 0.1391 0.2488 0.6881 x8  1 Si 1.61
O 0.1406 0.0832 0.1787 x8  1 Si 1.61
O 0.1496 0.1693 0.9869 x8  2 Si 1.68-1.69
O 0.1507 0.4949 0.4984 x8  2 Si 1.68-1.70
O 0.1517 0.1609 0.4941 x8  2 Si 1.67-1.68

=====

[8]
# Na2CaSe2O6

A geometry-optimized Na2CaSe2O6 structure (PBE, the Alexandria database).

- ΔE_f (raw) (eV per atom) = -1.58
- calculated total energy (eV/atom) = -5.338
- M_tot (μB per cell) = 0.0

Unit cell a=8.8029 b=5.8381 c=7.0293 alpha=90.00 beta=114.80 gamma=90.00
With the nearest neighbours (Å) after each atom.
Space group C2/m (No. 12)
Symmetry-distinct sites (fractional):
Na 0.1985 0.0000 0.1293 x4  5 O 2.42-2.71
Ca 0.0000 0.0000 0.5000 x2  6 O 2.41-2.43
Se 0.0783 0.5000 0.2426 x4  3 O 1.70-1.75
O 0.0525 0.2654 0.7835 x8  1 Se 1.75
O 0.2226 0.5000 0.4962 x4  1 Se 1.70